PBE Ca2YNi, optimized geometry; energy of formation = -0.107 eV/atom; space-group type = Amm2 (38); size of the total moment = 0.00 μB/f.u.
1.0
3.746 0.000 0.000
0.000 1.974 8.344
0.000 -1.974 8.344
Ca Y Ni
2 1 1
Cartesian
0.000 0.000 0.000 Ca
1.873 0.000 5.449 Ca
1.873 0.000 10.823 Y
0.000 0.000 3.045 Ni